Record 1
# AlCoHAu2 PBE-GGA optimized geometry
# - Uncorrected energy: -3.03 eV per atom
# - V: 21.1 Å³ per atom
# - Fermi-level density of states: 2.35 states/eV/cell
data_AlCoHAu2
_chemical_formula_sum 'Al1 Co1 H1 Au2'
_space_group_name_H-M_alt 'P 4/m m m'
_space_group_IT_number 123
_space_group_name_Hall '-P 4 2'
_cell_length_a 4.834
_cell_length_b 4.834
_cell_length_c 4.525
_cell_angle_alpha 90.00
_cell_angle_beta 90.00
_cell_angle_gamma 90.00
loop_
_atom_site_label
_atom_site_fract_x
_atom_site_fract_y
_atom_site_fract_z
Al1 0.000 0.000 0.000
Co1 0.000 0.000 0.500
H1 0.500 0.500 0.500
Au1 0.000 0.500 0.000



Record 2
# AlCo2AuI PBE-GGA optimized geometry
# - Energy relative to the elements, uncorrected: 919 meV/atom
# - Uncorrected energy: -3.64 eV per atom
# - V: 23.6 Å³ per atom
# - Fermi-level density of states: 10.51 states/eV/cell
data_AlCo2AuI
_chemical_formula_sum 'Al1 Co2 Au1 I1'
_space_group_name_H-M_alt 'P 4/m m m'
_space_group_IT_number 123
_space_group_name_Hall '-P 4 2'
_cell_length_a 4.959
_cell_length_b 4.959
_cell_length_c 4.800
_cell_angle_alpha 90.00
_cell_angle_beta 90.00
_cell_angle_gamma 90.00
loop_
_atom_site_label
_atom_site_fract_x
_atom_site_fract_y
_atom_site_fract_z
Al1 0.000 0.000 0.000
Co1 0.000 0.500 0.500
Au1 0.000 0.000 0.500
I1 0.500 0.500 0.000



Record 3
# AlCoIrAu2 PBE-GGA optimized geometry
# - E_form: 0.941 eV per atom
# - Uncorrected energy: -4.31 eV per atom
# - V: 19.7 Å³ per atom
# - Fermi-level density of states: 6.00 states/eV/cell
data_AlCoIrAu2
_chemical_formula_sum 'Al1 Co1 Ir1 Au2'
_space_group_name_H-M_alt 'P 4/m m m'
_space_group_IT_number 123
_space_group_name_Hall '-P 4 2'
_cell_length_a 4.752
_cell_length_b 4.752
_cell_length_c 4.369
_cell_angle_alpha 90.00
_cell_angle_beta 90.00
_cell_angle_gamma 90.00
loop_
_atom_site_label
_atom_site_fract_x
_atom_site_fract_y
_atom_site_fract_z
Al1 0.000 0.000 0.000
Co1 0.500 0.500 0.500
Ir1 0.500 0.500 0.000
Au1 0.000 0.500 0.500



Record 4
# KAlCoAu2 PBE-GGA optimized geometry
# - E_form: 0.125 eV per atom
# - Uncorrected energy: -3.58 eV per atom
# - V: 23.0 Å³ per atom
# - Fermi-level density of states: 3.35 states/eV/cell
data_KAlCoAu2
_chemical_formula_sum 'K1 Al1 Co1 Au2'
_space_group_name_H-M_alt 'P 4/m m m'
_space_group_IT_number 123
_space_group_name_Hall '-P 4 2'
_cell_length_a 5.046
_cell_length_b 5.046
_cell_length_c 4.515
_cell_angle_alpha 90.00
_cell_angle_beta 90.00
_cell_angle_gamma 90.00
loop_
_atom_site_label
_atom_site_fract_x
_atom_site_fract_y
_atom_site_fract_z
K1 0.000 0.000 0.000
Al1 0.500 0.500 0.000
Co1 0.500 0.500 0.500
Au1 0.000 0.500 0.500



Record 5
# Li2AlCoAu PBE-GGA optimized geometry
# - E_form: 0.461 eV per atom
# - Uncorrected energy: -3.13 eV per atom
# - V: 17.8 Å³ per atom
# - Fermi-level density of states: 3.51 states/eV/cell
data_Li2AlCoAu
_chemical_formula_sum 'Li2 Al1 Co1 Au1'
_space_group_name_H-M_alt 'P 4/m m m'
_space_group_IT_number 123
_space_group_name_Hall '-P 4 2'
_cell_length_a 4.304
_cell_length_b 4.304
_cell_length_c 4.813
_cell_angle_alpha 90.00
_cell_angle_beta 90.00
_cell_angle_gamma 90.00
loop_
_atom_site_label
_atom_site_fract_x
_atom_site_fract_y
_atom_site_fract_z
Li1 0.000 0.500 0.000
Al1 0.000 0.000 0.500
Co1 0.500 0.500 0.000
Au1 0.500 0.500 0.500



Record 6
# MgAlCo2Au PBE-GGA optimized geometry
# - E_form: 0.983 eV per atom
# - Uncorrected energy: -3.58 eV per atom
# - V: 21.9 Å³ per atom
# - Fermi-level density of states: 7.84 states/eV/cell
data_MgAlCo2Au
_chemical_formula_sum 'Mg1 Al1 Co2 Au1'
_space_group_name_H-M_alt 'P 4/m m m'
_space_group_IT_number 123
_space_group_name_Hall '-P 4 2'
_cell_length_a 4.759
_cell_length_b 4.759
_cell_length_c 4.838
_cell_angle_alpha 90.00
_cell_angle_beta 90.00
_cell_angle_gamma 90.00
loop_
_atom_site_label
_atom_site_fract_x
_atom_site_fract_y
_atom_site_fract_z
Mg1 0.000 0.000 0.000
Al1 0.500 0.500 0.000
Co1 0.000 0.500 0.500
Au1 0.000 0.000 0.500



Ρ values, unit g/cm³, following the record order: 7.55, 6.59, 11.31, 7.50, 5.53, 5.55.